<A>
Compound: ZrSiSN2
Source: Alexandria
Functional: GGA-PBE
Structure: optimized geometry

Summary:
The calculated volume is 12.13 Å³/atom. As for the space-group type: P4/mmm.

Cell and atoms, written as POSCAR:
```
ZrSiSN2
1.0
3.652 0.000 0.000
0.000 3.652 0.000
0.000 0.000 4.546
Zr Si S N
1 1 1 2
Direct
0.000 0.000 0.000
0.500 0.500 0.500
0.500 0.500 0.000
0.000 0.500 0.500
0.500 0.000 0.500
```



<B>
Compound: ZrSiSN2
Source: Alexandria
Functional: GGA-PBE
Structure: optimized geometry

Summary:
The calculated volume is 18.00 Å³/atom. As for the space-group type: P4/mmm.

Cell and atoms, written as POSCAR:
```
ZrSiSN2
1.0
4.108 0.000 0.000
0.000 4.108 0.000
0.000 0.000 5.333
Zr Si S N
1 1 1 2
Direct
0.000 0.000 0.000
0.500 0.500 0.500
0.000 0.000 0.500
0.000 0.500 0.000
0.500 0.000 0.000
```



Which structure is the most stable? The one labeled <A>.



<A>
Compound: SmSN
Source: Alexandria
Functional: GGA-PBE
Structure: optimized geometry

Summary:
The calculated volume is 19.16 Å³/atom. As for the space-group type: P-1.

Cell and atoms, written as POSCAR:
```
SmSN
1.0
3.781 0.000 0.000
1.856 3.513 0.000
0.763 0.584 8.654
Sm S N
2 2 2
Direct
0.195 0.215 0.177
0.805 0.785 0.823
0.499 0.482 0.621
0.501 0.518 0.379
0.484 0.406 0.934
0.516 0.594 0.066
```



<B>
Compound: SmSN
Source: Alexandria
Functional: GGA-PBE
Structure: optimized geometry

Summary:
The calculated volume is 25.78 Å³/atom. As for the space-group type: I4/mmm.

Cell and atoms, written as POSCAR:
```
SmSN
1.0
-1.758 1.758 12.507
1.758 -1.758 12.507
1.758 1.758 -12.507
Sm S N
2 2 2
Direct
0.131 0.131 0.000
0.869 0.869 0.000
0.314 0.314 0.000
0.686 0.686 0.000
0.387 0.387 0.000
0.613 0.613 0.000
```



Which structure is the most stable? The one labeled <A>.



<A>
Compound: SnS2N
Source: Alexandria
Functional: GGA-PBE
Structure: optimized geometry

Summary:
The calculated volume is 20.07 Å³/atom. As for the space-group type: I-42d.

Cell and atoms, written as POSCAR:
```
SnS2N
1.0
-2.815 2.815 5.067
2.815 -2.815 5.067
2.815 2.815 -5.067
Sn S N
2 4 2
Direct
0.000 0.000 0.000
0.750 0.250 0.500
0.273 0.625 0.148
0.375 0.523 0.648
0.477 0.125 0.852
0.875 0.727 0.352
0.250 0.750 0.500
0.500 0.500 0.000
```



<B>
Compound: SnS2N
Source: Alexandria
Functional: GGA-PBE
Structure: optimized geometry

Summary:
The calculated volume is 21.15 Å³/atom. As for the space-group type: R-3m.

Cell and atoms, written as POSCAR:
```
SnS2N
1.0
1.837 1.061 7.237
-1.837 1.061 7.237
0.000 -2.121 7.237
Sn S N
1 2 1
Direct
0.000 0.000 0.000
0.428 0.428 0.428
0.572 0.572 0.572
0.500 0.500 0.500
```



Which structure is the most stable? The one labeled <B>.



<A>
Compound: TaSnSN2
Source: Alexandria
Functional: GGA-PBE
Structure: optimized geometry

Summary:
The calculated volume is 16.85 Å³/atom. As for the space-group type: P4/mmm.

Cell and atoms, written as POSCAR:
```
TaSnSN2
1.0
4.065 0.000 0.000
0.000 4.065 0.000
0.000 0.000 5.100
Ta Sn S N
1 1 1 2
Direct
0.000 0.000 0.000
0.500 0.500 0.500
0.000 0.000 0.500
0.000 0.500 0.000
0.500 0.000 0.000
```



<B>
Compound: TaSnSN2
Source: Alexandria
Functional: GGA-PBE
Structure: optimized geometry

Summary:
The calculated volume is 16.09 Å³/atom. As for the space-group type: P4/mmm.

Cell and atoms, written as POSCAR:
```
TaSnSN2
1.0
4.029 0.000 0.000
0.000 4.029 0.000
0.000 0.000 4.956
Ta Sn S N
1 1 1 2
Direct
0.000 0.000 0.000
0.500 0.500 0.500
0.500 0.500 0.000
0.000 0.500 0.500
0.500 0.000 0.500
```



Which structure is the most stable? The one labeled <A>.



<A>
Compound: TaSnS2N
Source: Alexandria
Functional: GGA-PBE
Structure: optimized geometry

Summary:
The calculated volume is 18.71 Å³/atom. As for the space-group type: P4/mmm.

Cell and atoms, written as POSCAR:
```
TaSnS2N
1.0
4.939 0.000 0.000
0.000 4.939 0.000
0.000 0.000 3.836
Ta Sn S N
1 1 2 1
Direct
0.000 0.000 0.000
0.500 0.500 0.500
0.000 0.500 0.500
0.500 0.000 0.500
0.500 0.500 0.000
```



<B>
Compound: TaSnS2N
Source: Alexandria
Functional: GGA-PBE
Structure: optimized geometry

Summary:
The calculated volume is 19.47 Å³/atom. As for the space-group type: P4/mmm.

Cell and atoms, written as POSCAR:
```
TaSnS2N
1.0
4.971 0.000 0.000
0.000 4.971 0.000
0.000 0.000 3.940
Ta Sn S N
1 1 2 1
Direct
0.000 0.000 0.000
0.500 0.500 0.500
0.000 0.500 0.000
0.500 0.000 0.000
0.000 0.000 0.500
```



Which structure is the most stable? The one labeled <B>.



<A>
Compound: SnTeSN2
Source: Alexandria
Functional: GGA-PBE
Structure: optimized geometry

Summary:
The calculated volume is 17.90 Å³/atom. As for the space-group type: P4/mmm.

Cell and atoms, written as POSCAR:
```
SnTeSN2
1.0
4.143 0.000 0.000
0.000 4.143 0.000
0.000 0.000 5.216
Sn Te S N
1 1 1 2
Direct
0.000 0.000 0.000
0.500 0.500 0.500
0.000 0.000 0.500
0.000 0.500 0.000
0.500 0.000 0.000
```



<B>
Compound: SnTeSN2
Source: Alexandria
Functional: GGA-PBE
Structure: optimized geometry

Summary:
The calculated volume is 17.58 Å³/atom. As for the space-group type: P4/mmm.

Cell and atoms, written as POSCAR:
```
SnTeSN2
1.0
4.072 0.000 0.000
0.000 4.072 0.000
0.000 0.000 5.301
Sn Te S N
1 1 1 2
Direct
0.000 0.000 0.000
0.500 0.500 0.500
0.500 0.500 0.000
0.000 0.500 0.500
0.500 0.000 0.500
```



<C>
Compound: SnTeSN2
Source: Alexandria
Functional: GGA-PBE
Structure: optimized geometry

Summary:
The calculated volume is 17.19 Å³/atom. As for the space-group type: P4/mmm.

Cell and atoms, written as POSCAR:
```
SnTeSN2
1.0
4.047 0.000 0.000
0.000 4.047 0.000
0.000 0.000 5.248
Sn Te S N
1 1 1 2
Direct
0.000 0.000 0.000
0.500 0.500 0.000
0.500 0.500 0.500
0.000 0.500 0.500
0.500 0.000 0.500
```



Which structure is the most stable? The one labeled <B>.